#w
Compound: NdSnMo
Source: the Open Quantum Materials Database
Functional: PBE
Structure: relaxed

Summary:
* space group: No. 216

Unit cell a=5.0583 b=5.0583 c=5.0583 alpha=60.00 beta=60.00 gamma=60.00
Closest atoms and distances in Å follow each position.
Fractional coordinates of all 3 atoms:
Mo 0.2500 0.2500 0.2500  4 Nd 3.10
Nd 0.0000 0.0000 0.0000  4 Sn 3.10, 4 Mo 3.10
Sn 0.7500 0.7500 0.7500  4 Nd 3.10

***

#x
Compound: NdSnMo
Source: the Open Quantum Materials Database
Functional: PBE
Structure: relaxed

Summary:
* space group: No. 216

Unit cell a=4.8129 b=4.8129 c=4.8129 alpha=60.00 beta=60.00 gamma=60.00
Closest atoms and distances in Å follow each position.
Fractional coordinates of all 3 atoms:
Mo 0.0000 0.0000 0.0000  4 Nd 2.95, 4 Sn 2.95
Nd 0.2500 0.2500 0.2500  4 Mo 2.95
Sn 0.7500 0.7500 0.7500  4 Mo 2.95

***

Relative energy of each structure, in kJ/mol of atoms: #w 55.5; #x 0.0.

***

#w
Compound: Ni2Mo
Source: the Open Quantum Materials Database
Functional: PBE
Structure: relaxed

Summary:
* space group: No. 139

Unit cell a=5.7160 b=5.7160 c=5.7160 alpha=153.53 beta=153.53 gamma=37.79
Closest atoms and distances in Å follow each position.
Fractional coordinates of all 3 atoms:
Mo 0.0000 0.0000 0.0000  4 Mo 2.62, 8 Ni 2.63
Ni 0.3275 0.3275 0.0000  8 Ni 2.50-2.62, 4 Mo 2.63
Ni 0.6725 0.6725 0.0000  8 Ni 2.50-2.62, 4 Mo 2.63

***

#x
Compound: Ni2Mo
Source: the Open Quantum Materials Database
Functional: PBE
Structure: relaxed

Summary:
* space group: No. 227

Unit cell a=7.3158 b=7.3158 c=7.3158 alpha=60.00 beta=60.00 gamma=60.00
Closest atoms and distances in Å follow each position.
Fractional coordinates of all 6 atoms:
Mo 0.2500 0.2500 0.2500  4 Ni 2.24
Mo 0.5000 0.5000 0.5000  4 Ni 2.24
Ni 0.8750 0.3750 0.3750  2 Mo 2.24
Ni 0.3750 0.8750 0.3750  2 Mo 2.24
Ni 0.3750 0.3750 0.3750  2 Mo 2.24
Ni 0.3750 0.3750 0.8750  2 Mo 2.24

***

Relative energy of each structure, in kJ/mol of atoms: #w 0.0; #x 274.7.

***

#w
Compound: NiMo2
Source: the Open Quantum Materials Database
Functional: PBE
Structure: relaxed

Summary:
* space group: No. 136

Unit cell a=5.4209 b=5.4209 c=3.4947 alpha=90.00 beta=90.00 gamma=90.00
Closest atoms and distances in Å follow each position.
Fractional coordinates of all 6 atoms:
Mo 0.2957 0.2957 0.0000  3 Ni 2.27-2.35
Mo 0.7043 0.7043 0.0000  3 Ni 2.27-2.35
Mo 0.7957 0.2043 0.5000  3 Ni 2.27-2.35
Mo 0.2043 0.7957 0.5000  3 Ni 2.27-2.35
Ni 0.0000 0.0000 0.0000  6 Mo 2.27-2.35
Ni 0.5000 0.5000 0.5000  6 Mo 2.27-2.35

***

#x
Compound: NiMo2
Source: the Open Quantum Materials Database
Functional: PBE
Structure: relaxed

Summary:
* space group: No. 227

Unit cell a=5.0909 b=5.0909 c=5.0909 alpha=60.00 beta=60.00 gamma=60.00
Closest atoms and distances in Å follow each position.
Fractional coordinates of all 6 atoms:
Mo 0.6250 0.6250 0.1250  6 Mo 2.55
Mo 0.6250 0.1250 0.6250  6 Mo 2.55
Mo 0.1250 0.6250 0.6250  6 Mo 2.55
Mo 0.6250 0.6250 0.6250  6 Mo 2.55
Ni 0.0000 0.0000 0.0000  12 Mo 2.98, 4 Ni 3.12
Ni 0.2500 0.2500 0.2500  12 Mo 2.98, 4 Ni 3.12

***

#y
Compound: NiMo2
Source: the Open Quantum Materials Database
Functional: PBE
Structure: relaxed

Summary:
* space group: No. 227

Unit cell a=7.5273 b=7.5273 c=7.5273 alpha=60.00 beta=60.00 gamma=60.00
Closest atoms and distances in Å follow each position.
Fractional coordinates of all 6 atoms:
Mo 0.3750 0.3750 0.3750  2 Ni 2.30
Mo 0.8750 0.3750 0.3750  2 Ni 2.30
Mo 0.3750 0.8750 0.3750  2 Ni 2.30
Mo 0.3750 0.3750 0.8750  2 Ni 2.30
Ni 0.2500 0.2500 0.2500  4 Mo 2.30
Ni 0.5000 0.5000 0.5000  4 Mo 2.30

***

Relative energy of each structure, in kJ/mol of atoms: #w 72.7; #x 0.0; #y 276.2.

***

#w
Compound: PmNiMo
Source: the Open Quantum Materials Database
Functional: PBE
Structure: relaxed

Summary:
* space group: No. 216

Unit cell a=4.5277 b=4.5277 c=4.5277 alpha=60.00 beta=60.00 gamma=60.00
Closest atoms and distances in Å follow each position.
Fractional coordinates of all 3 atoms:
Mo 0.5000 0.5000 0.5000  4 Pm 2.77
Ni 0.0000 0.0000 0.0000  4 Pm 2.77
Pm 0.2500 0.2500 0.2500  4 Ni 2.77, 4 Mo 2.77

***

#x
Compound: PmNiMo
Source: the Open Quantum Materials Database
Functional: PBE
Structure: relaxed

Summary:
* space group: No. 216

Unit cell a=4.4640 b=4.4640 c=4.4640 alpha=60.00 beta=60.00 gamma=60.00
Closest atoms and distances in Å follow each position.
Fractional coordinates of all 3 atoms:
Mo 0.2500 0.2500 0.2500  4 Ni 2.73
Ni 0.0000 0.0000 0.0000  4 Pm 2.73, 4 Mo 2.73
Pm 0.7500 0.7500 0.7500  4 Ni 2.73

***

Relative energy of each structure, in kJ/mol of atoms: #w 66.0; #x 0.0.

***

#w
Compound: TmNiMo
Source: the Open Quantum Materials Database
Functional: PBE
Structure: relaxed

Summary:
* space group: No. 216

Unit cell a=4.4404 b=4.4404 c=4.4404 alpha=60.00 beta=60.00 gamma=60.00
Closest atoms and distances in Å follow each position.
Fractional coordinates of all 3 atoms:
Mo 0.2500 0.2500 0.2500  4 Tm 2.72
Ni 0.7500 0.7500 0.7500  4 Tm 2.72
Tm 0.0000 0.0000 0.0000  4 Ni 2.72, 4 Mo 2.72

***

#x
Compound: TmNiMo
Source: the Open Quantum Materials Database
Functional: PBE
Structure: relaxed

Summary:
* space group: No. 216

Unit cell a=4.3339 b=4.3339 c=4.3339 alpha=60.00 beta=60.00 gamma=60.00
Closest atoms and distances in Å follow each position.
Fractional coordinates of all 3 atoms:
Mo 0.2500 0.2500 0.2500  4 Ni 2.65
Ni 0.0000 0.0000 0.0000  4 Mo 2.65, 4 Tm 2.65
Tm 0.7500 0.7500 0.7500  4 Ni 2.65

***

Relative energy of each structure, in kJ/mol of atoms: #w 72.6; #x 0.0.

***

#w
Compound: NpMo
Source: the Open Quantum Materials Database
Functional: PBE
Structure: relaxed

Summary:
* space group: No. 216

Unit cell a=4.0559 b=4.0559 c=4.0559 alpha=60.00 beta=60.00 gamma=60.00
Closest atoms and distances in Å follow each position.
Fractional coordinates of all 2 atoms:
Mo 0.0000 0.0000 0.0000  4 Np 2.48
Np 0.2500 0.2500 0.2500  4 Mo 2.48

***

#x
Compound: NpMo
Source: the Open Quantum Materials Database
Functional: PBE
Structure: relaxed

Summary:
* space group: No. 187

Unit cell a=3.0633 b=3.0632 c=4.5645 alpha=90.00 beta=90.00 gamma=120.00
Closest atoms and distances in Å follow each position.
Fractional coordinates of all 2 atoms:
Mo 0.6667 0.3334 0.7500  6 Np 2.89, 6 Mo 3.06
Np 0.3333 0.6666 0.2500  6 Mo 2.89, 6 Np 3.06

***

#y
Compound: NpMo
Source: the Open Quantum Materials Database
Functional: PBE
Structure: relaxed

Summary:
* space group: No. 225

Unit cell a=3.8321 b=3.8321 c=3.8321 alpha=60.00 beta=60.00 gamma=60.00
Closest atoms and distances in Å follow each position.
Fractional coordinates of all 2 atoms:
Mo 0.0000 0.0000 0.0000  6 Np 2.71
Np 0.5000 0.5000 0.5000  6 Mo 2.71

***

Relative energy of each structure, in kJ/mol of atoms: #w 102.3; #x 0.0; #y 37.3.

***

#w
Compound: NpReMo
Source: the Open Quantum Materials Database
Functional: PBE
Structure: relaxed

Summary:
* space group: No. 216

Unit cell a=4.3548 b=4.3548 c=4.3548 alpha=60.00 beta=60.00 gamma=60.00
Closest atoms and distances in Å follow each position.
Fractional coordinates of all 3 atoms:
Mo 0.0000 0.0000 0.0000  4 Np 2.67
Np 0.7500 0.7500 0.7500  4 Re 2.67, 4 Mo 2.67
Re 0.5000 0.5000 0.5000  4 Np 2.67

***

#x
Compound: NpReMo
Source: the Open Quantum Materials Database
Functional: PBE
Structure: relaxed

Summary:
* space group: No. 216

Unit cell a=4.3996 b=4.3996 c=4.3996 alpha=60.00 beta=60.00 gamma=60.00
Closest atoms and distances in Å follow each position.
Fractional coordinates of all 3 atoms:
Mo 0.7500 0.7500 0.7500  4 Re 2.69
Np 0.2500 0.2500 0.2500  4 Re 2.69
Re 0.0000 0.0000 0.0000  4 Mo 2.69, 4 Np 2.69

***

Relative energy of each structure, in kJ/mol of atoms: #w 35.7; #x 0.0.

***

#w
Compound: NpTcMo
Source: the Open Quantum Materials Database
Functional: PBE
Structure: relaxed

Summary:
* space group: No. 216

Unit cell a=4.3477 b=4.3477 c=4.3477 alpha=60.00 beta=60.00 gamma=60.00
Closest atoms and distances in Å follow each position.
Fractional coordinates of all 3 atoms:
Mo 0.2500 0.2500 0.2500  4 Np 2.66
Np 0.0000 0.0000 0.0000  4 Tc 2.66, 4 Mo 2.66
Tc 0.7500 0.7500 0.7500  4 Np 2.66

***

#x
Compound: NpTcMo
Source: the Open Quantum Materials Database
Functional: PBE
Structure: relaxed

Summary:
* space group: No. 216

Unit cell a=4.3536 b=4.3536 c=4.3536 alpha=60.00 beta=60.00 gamma=60.00
Closest atoms and distances in Å follow each position.
Fractional coordinates of all 3 atoms:
Mo 0.0000 0.0000 0.0000  4 Tc 2.67, 4 Np 2.67
Np 0.2500 0.2500 0.2500  4 Mo 2.67
Tc 0.7500 0.7500 0.7500  4 Mo 2.67

***

Relative energy of each structure, in kJ/mol of atoms: #w 22.1; #x 0.0.